A plane-wave DFT calculation with PBE was carried out for an optimized crystal structure of Gd2YSnPb6.

Unit cell a=13.7363 b=13.7363 c=4.6206 alpha=90.00 beta=90.00 gamma=160.94
Positions (direct):
Pb: 0.0963 0.9037 0.5000
Pb: 0.7089 0.2911 0.5000
Pb: 0.9037 0.0963 0.5000
Pb: 0.4042 0.5958 0.0000
Pb: 0.5958 0.4042 0.0000
Pb: 0.2911 0.7089 0.5000
Sn: 0.0000 0.0000 0.0000
Gd: 0.1911 0.8089 0.0000
Gd: 0.8089 0.1911 0.0000
Y: 0.5000 0.5000 0.5000

Properties
- magnetic moment (μB/cell) = 0.00
- E_tot (eV per cell) = -45.82
- space-group type = Cmmm (65)